Material: Tb2Sm8Cd
Method: DFT, PBE-GGA
State: relaxed

Computed properties:
- theoretical density (g/cm3) = 7.7
- energy of formation (eV/atom) = -0.01
- symmetry = C2/m
- distance to the lowest polymorph of the same formula (meV/atom) = 3
- magnetization (μB/cell) = 0.000

Lattice parameters (Å, degrees): 5.0725 6.2139 12.6941 76.90 90.00 114.09
Last column: nearest neighbours and their distance in Å.
Sites, in units of the cell vectors:
Tb1 0.3146 0.6292 0.2631  1 Cd 3.48, 11 Sm 3.54-3.66
Tb2 0.6854 0.3708 0.7369  1 Cd 3.48, 11 Sm 3.54-3.66
Sm1 0.9630 0.9260 0.8225  2 Cd 3.49, 7 Sm 3.53-3.64, 3 Tb 3.55-3.58
Sm2 0.4096 0.8193 0.6396  9 Sm 3.50-3.63, 3 Tb 3.59-3.64
Sm3 0.0370 0.0740 0.1775  2 Cd 3.49, 7 Sm 3.53-3.64, 3 Tb 3.55-3.58
Sm4 0.5904 0.1807 0.3604  9 Sm 3.50-3.63, 3 Tb 3.59-3.64
Sm5 0.8601 0.7202 0.4524  9 Sm 3.54-3.67, 3 Tb 3.62-3.66
Sm6 0.7561 0.5121 0.0884  3 Cd 3.36-3.72, 7 Sm 3.41-3.64, 2 Tb 3.54
Sm7 0.1399 0.2798 0.5476  9 Sm 3.54-3.67, 3 Tb 3.62-3.66
Sm8 0.2439 0.4879 0.9116  3 Cd 3.36-3.72, 7 Sm 3.41-3.64, 2 Tb 3.54
Cd1 0.5000 0.0000 0.0000  10 Sm 3.36-3.72, 2 Tb 3.48